1.
Computed, not measured: a relaxed structure of TmMgPb3 at the PBE level of DFT.

Unit cell a=7.980 b=8.393 c=8.713 alpha=90.00 beta=90.00 gamma=90.00
Positions (direct):
Mg: 0.682 0.411 0.250
Mg: 0.318 0.589 0.750
Mg: 0.818 0.911 0.750
Mg: 0.182 0.089 0.250
Tm: 0.000 0.500 0.500
Tm: 0.500 0.000 0.500
Tm: 0.000 0.500 0.000
Tm: 0.500 0.000 0.000
Pb: 0.634 0.647 0.952
Pb: 0.667 0.303 0.750
Pb: 0.866 0.147 0.048
Pb: 0.833 0.803 0.250
Pb: 0.134 0.853 0.952
Pb: 0.167 0.197 0.750
Pb: 0.866 0.147 0.452
Pb: 0.366 0.353 0.452
Pb: 0.634 0.647 0.548
Pb: 0.366 0.353 0.048
Pb: 0.134 0.853 0.548
Pb: 0.333 0.697 0.250

Total moment, μB per formula unit: 0.00
E above lowest polymorph, meV/atom: 147
ΔE_f, eV/atom: -0.04

2.
Computed, not measured: a relaxed structure of BeGaCo2H at the PBE level of DFT.

Unit cell a=3.687 b=3.687 c=3.245 alpha=90.00 beta=90.00 gamma=90.00
Positions (direct):
Be: 0.000 0.000 0.500
H: 0.000 0.000 0.000
Ga: 0.500 0.500 0.500
Co: 0.000 0.500 0.000
Co: 0.500 0.000 0.000

Raw total energy, eV per atom: -5.039
Total moment, μB per formula unit: 0.00

3.
Computed, not measured: a relaxed structure of Na3ThU2S6 at the PBE level of DFT.

Unit cell a=6.896 b=6.896 c=7.210 alpha=99.17 beta=99.17 gamma=120.00
Each line ends with the local moment (μB).
Positions (direct):
S: 0.078 0.417 0.235  -0.04
S: 0.260 0.260 0.765  -0.04
S: 0.583 0.922 0.765  -0.04
S: 0.417 0.078 0.235  -0.04
S: 0.922 0.583 0.765  -0.04
S: 0.740 0.740 0.235  -0.04
Na: 0.500 0.500 0.500  0.00
Na: 0.834 0.166 0.500  0.00
Na: 0.166 0.834 0.500  0.00
U: 0.667 0.333 0.000  2.71
U: 0.333 0.667 0.000  2.71
Th: 0.000 0.000 0.000  0.38

Total moment, μB per formula unit: 6.92
E_form (uncorrected), eV per atom: -1.441